No. 1
A geometry-optimized YZrNi6 structure. Source: Alexandria via LeMat-Bulk, functional PBEsol.

The space group is Cmmm (No. 65) and the conventional cell measures 7.479, 10.558 and 10.578 Å, with angles of 90.00, 90.00 and 90.00 degrees. The asymmetric unit holds Y at (0.000, 0.000, 0.249), Y at (0.000, 0.249, 0.500), Zr at (0.000, 0.249, 0.000), Zr at (0.000, 0.500, 0.249), Ni at (0.000, 0.000, 0.000), Ni at (0.000, 0.000, 0.500), Ni at (0.000, 0.254, 0.244), Ni at (0.000, 0.500, 0.000), Ni at (0.000, 0.500, 0.500), Ni at (0.245, 0.376, 0.371) and Ni at (0.246, 0.374, 0.121).

---

No. 2
A geometry-optimized Y2ZrNi structure. Source: Alexandria via LeMat-Bulk, functional PBEsol.

For the relative energy among the computed polymorphs, the calculation gives 52 meV per atom.

The space group is R-3m (No. 166, hexagonal axes) and the conventional cell measures 3.4006, 3.4006 and 27.4711 Å, with angles of 90.00, 90.00 and 120.00 degrees. The asymmetric unit holds Y at (0.0000, 0.0000, 0.2352), Zr at (0.0000, 0.0000, 0.0000) and Ni at (0.0000, 0.0000, 0.5000).

---

For reference, total magnetic moment by record: 0.0 0.0 μB per formula unit.
For reference, formation energy from the elements by record: -357 52 meV/atom.